The following is a DFT calculation (PBE) of a geometry-optimized Li5Ag8Pb structure.

a = 8.009 Å, b = 8.009 Å, c = 8.007 Å
α = 90.00°, β = 90.00°, γ = 90.00°
Space group I-4 (No. 82)
Inequivalent atoms, fractional coordinates:
Li 0.000 0.000 0.000 [2 per cell]
Li 0.133 0.220 0.585 [8 per cell]
Ag 0.071 0.333 0.898 [8 per cell]
Ag 0.096 0.153 0.258 [8 per cell]
Pb 0.000 0.500 0.250 [2 per cell]

The density comes out at 7.1 g/cm³. For the formation energy, the calculation gives -1.1 eV/f.u. The value obtained for the density of states at the Fermi level is 0.33 states/eV/atom.